[1]
Compound: NpSc2UAs4
Source: Alexandria
Functional: PBE-GGA
Structure: relaxed

Geometry as POSCAR:
```
NpSc2UAs4
1.0
6.878 0.000 0.000
0.000 3.976 0.000
-2.295 0.000 6.550
Np Sc U As
1 2 1 4
direct
0.000 0.000 0.000
0.000 0.500 0.500
0.500 0.000 0.500
0.500 0.500 0.000
0.247 0.000 0.736
0.256 0.500 0.264
0.744 0.500 0.736
0.753 0.000 0.264
```

Calculated values
As for the space group: P2/m, No. 10. The value obtained for the calculated volume is 22.39 A^3/atom. The formation energy is -1.05 eV per atom.

---

[2]
Compound: YNpSc2As4
Source: Alexandria
Functional: PBE-GGA
Structure: relaxed

Geometry as POSCAR:
```
YNpSc2As4
1.0
6.906 0.000 0.000
0.000 3.994 0.000
-2.299 0.000 6.543
Y Np Sc As
1 1 2 4
direct
0.000 0.000 0.000
0.000 0.500 0.500
0.500 0.000 0.500
0.500 0.500 0.000
0.264 0.000 0.753
0.264 0.500 0.257
0.736 0.000 0.247
0.736 0.500 0.743
```

Calculated values
As for the space group: P2/m, No. 10. The value obtained for the calculated volume is 22.56 A^3/atom. The formation energy is -1.23 eV per atom.

---

[3]
Compound: ZrNp2ScAs4
Source: Alexandria
Functional: PBE-GGA
Structure: relaxed

Geometry as POSCAR:
```
ZrNp2ScAs4
1.0
6.900 0.000 0.000
0.000 3.970 0.000
-2.288 0.000 6.536
Zr Np Sc As
1 2 1 4
direct
0.000 0.000 0.000
0.500 0.000 0.500
0.500 0.500 0.000
0.000 0.500 0.500
0.235 0.000 0.745
0.236 0.500 0.247
0.764 0.500 0.753
0.765 0.000 0.255
```

Calculated values
As for the space group: P2/m, No. 10. The value obtained for the calculated volume is 22.38 A^3/atom. The formation energy is -0.97 eV per atom.

---

[4]
Compound: ZrNpSc2As4
Source: Alexandria
Functional: PBE-GGA
Structure: relaxed

Geometry as POSCAR:
```
ZrNpSc2As4
1.0
6.789 0.000 0.000
0.000 3.930 0.000
-2.247 0.000 6.435
Zr Np Sc As
1 1 2 4
direct
0.000 0.000 0.000
0.000 0.500 0.500
0.500 0.000 0.500
0.500 0.500 0.000
0.255 0.500 0.246
0.260 0.000 0.760
0.740 0.000 0.240
0.745 0.500 0.754
```

Calculated values
As for the space group: P2/m, No. 10. The value obtained for the calculated volume is 21.46 A^3/atom. The formation energy is -1.14 eV per atom.